# NaMnI2O8

A geometry-optimized NaMnI2O8 structure (PBE+U, Alexandria via LeMat-Bulk).

Computed properties:
D(E_F) = 2.742 states/eV/f.u.
SG = I-4m2
Uncorrected energy = -57.89 eV/cell

```
NaMnI2O8
1.0
-3.636 3.636 3.406
3.636 -3.636 3.406
3.636 3.636 -3.406
Na Mn I O
1 1 2 8
direct
0.000 0.000 0.000 Na
0.750 0.250 0.500 Mn
0.250 0.750 0.500 I
0.500 0.500 0.000 I
0.080 0.391 0.311 O
0.080 0.768 0.689 O
0.125 0.330 0.795 O
0.232 0.920 0.311 O
0.535 0.330 0.205 O
0.609 0.920 0.689 O
0.670 0.465 0.795 O
0.670 0.875 0.205 O
```